MgPb3C | GGA-PBE | optimized geometry

The size of the total moment is 1.488 μB per formula unit. For the energy relative to the elements, the calculation gives 38.40 kcal/mol of atoms. The value obtained for the total energy is -2.72 eV per atom.

The structure belongs to space group Pm-3m (No. 221); the cell edges are 5.489, 5.489 and 5.489 Å and the angles 90.00°, 90.00° and 90.00°. The distinct sites, in fractional coordinates, are Mg at (0.000, 0.000, 0.000), Pb at (0.000, 0.000, 0.500) and C at (0.500, 0.500, 0.500).